Record 1
Below is crystalline La5TbNd6 at its relaxed geometry, with properties calculated at the GGA-PBE level.

Structure (CIF):
```
data_La5TbNd6
_chemical_formula_sum 'La10 Tb2 Nd12'
_symmetry_space_group_name_H-M 'C 1 2/m 1'
_symmetry_Int_Tables_number 12
_cell_length_a 6.4073
_cell_length_b 11.1027
_cell_length_c 12.2489
_cell_angle_alpha 90.00
_cell_angle_beta 100.15
_cell_angle_gamma 90.00
loop_
_symmetry_equiv_pos_as_xyz
'x,y,z'
'-x,-y,-z'
'-x,y,-z'
'x,-y,z'
'x+1/2,y+1/2,z'
'-x+1/2,-y+1/2,-z'
'-x+1/2,y+1/2,-z'
'x+1/2,-y+1/2,z'
loop_
_atom_site_label
_atom_site_type_symbol
_atom_site_fract_x
_atom_site_fract_y
_atom_site_fract_z
La1 La 0.0000 0.0000 0.0000
La2 La 0.0000 0.1669 0.5000
La3 La 0.0000 0.3337 0.0000
Tb1 Tb 0.0000 0.5000 0.5000
Nd1 Nd 0.2486 0.3340 0.7488
Nd2 Nd 0.2502 0.0000 0.7486
```

Results
The crystal system is monoclinic. The total energy is -57.7 eV/f.u. As for the energy of formation from the pure elements: 0.014 eV/atom. For the total magnetization, the calculation gives 0.0 μB/f.u.

---

Record 2
Below is crystalline La3Tb4Nd2 at its relaxed geometry, with properties calculated at the GGA-PBE level.

Structure (CIF):
```
data_La3Tb4Nd2
_chemical_formula_sum 'La12 Tb16 Nd8'
_symmetry_space_group_name_H-M 'C 1 2/c 1'
_symmetry_Int_Tables_number 15
_cell_length_a 16.6913
_cell_length_b 11.9538
_cell_length_c 6.2270
_cell_angle_alpha 90.00
_cell_angle_beta 97.73
_cell_angle_gamma 90.00
loop_
_symmetry_equiv_pos_as_xyz
'x,y,z'
'-x,-y,-z'
'-x,y,-z+1/2'
'x,-y,z+1/2'
'x+1/2,y+1/2,z'
'-x+1/2,-y+1/2,-z'
'-x+1/2,y+1/2,-z+1/2'
'x+1/2,-y+1/2,z+1/2'
loop_
_atom_site_label
_atom_site_type_symbol
_atom_site_fract_x
_atom_site_fract_y
_atom_site_fract_z
La1 La 0.0000 0.1258 0.2500
La2 La 0.1639 0.3662 0.0890
Tb1 Tb 0.0556 0.3801 0.5359
Tb2 Tb 0.2266 0.1214 0.3623
Nd1 Nd 0.1134 0.1287 0.7968
```

Results
The crystal system is monoclinic. The total energy is -42.0 eV/f.u. Its excess energy over the best structure of this formula in the dataset is 65 meV/atom. As for the energy of formation from the pure elements: 0.092 eV/atom. For the total magnetization, the calculation gives 0.0 μB/f.u.

---

Record 3
Below is crystalline LaTbNd2 at its relaxed geometry, with properties calculated at the GGA-PBE level.

Structure (CIF):
```
data_LaTbNd2
_chemical_formula_sum 'La2 Tb2 Nd4'
_symmetry_space_group_name_H-M 'P m m a'
_symmetry_Int_Tables_number 51
_cell_length_a 7.3548
_cell_length_b 5.2115
_cell_length_c 7.2835
_cell_angle_alpha 90.00
_cell_angle_beta 90.00
_cell_angle_gamma 90.00
loop_
_symmetry_equiv_pos_as_xyz
'x,y,z'
'-x,-y,-z'
'-x+1/2,-y,z'
'x+1/2,y,-z'
'x+1/2,-y,-z'
'-x+1/2,y,z'
'-x,y,-z'
'x,-y,z'
loop_
_atom_site_label
_atom_site_type_symbol
_atom_site_fract_x
_atom_site_fract_y
_atom_site_fract_z
La1 La 0.2500 0.0000 0.9995
Tb1 Tb 0.2500 0.0000 0.4996
Nd1 Nd 0.0000 0.5000 0.2551
```

Results
The crystal system is orthorhombic. The total energy is -19.0 eV/f.u. Its excess energy over the best structure of this formula in the dataset is 0 meV/atom. As for the energy of formation from the pure elements: 0.016 eV/atom. For the total magnetization, the calculation gives 0.0 μB/f.u.

---

Record 4
Below is crystalline La5TbNd2 at its relaxed geometry, with properties calculated at the GGA-PBE level.

Structure (CIF):
```
data_La5TbNd2
_chemical_formula_sum 'La20 Tb4 Nd8'
_symmetry_space_group_name_H-M 'C m c m'
_symmetry_Int_Tables_number 63
_symmetry_space_group_name_Hall '-C 2c 2'
_cell_length_a 5.7509
_cell_length_b 12.2195
_cell_length_c 16.6939
_cell_angle_alpha 90.00
_cell_angle_beta 90.00
_cell_angle_gamma 90.00
loop_
_atom_site_label
_atom_site_type_symbol
_atom_site_fract_x
_atom_site_fract_y
_atom_site_fract_z
La1 La 0.0000 0.0349 0.2500
La2 La 0.0000 0.1141 0.5529
La3 La 0.0000 0.4225 0.5935
Tb1 Tb 0.0000 0.2479 0.7500
Nd1 Nd 0.0000 0.2757 0.1333
```

Results
The crystal system is orthorhombic. The total energy is -38.0 eV/f.u. As for the energy of formation from the pure elements: 0.104 eV/atom. For the total magnetization, the calculation gives 0.0 μB/f.u.

---

Record 5
Below is crystalline La12Tb2Nd5 at its relaxed geometry, with properties calculated at the GGA-PBE level.

Structure (CIF):
```
data_La12Tb2Nd5
_chemical_formula_sum 'La24 Tb4 Nd10'
_symmetry_space_group_name_H-M 'C 1 2/m 1'
_symmetry_Int_Tables_number 12
_cell_length_a 19.5464
_cell_length_b 7.6052
_cell_length_c 10.2729
_cell_angle_alpha 90.00
_cell_angle_beta 115.40
_cell_angle_gamma 90.00
loop_
_symmetry_equiv_pos_as_xyz
'x,y,z'
'-x,-y,-z'
'-x,y,-z'
'x,-y,z'
'x+1/2,y+1/2,z'
'-x+1/2,-y+1/2,-z'
'-x+1/2,y+1/2,-z'
'x+1/2,-y+1/2,z'
loop_
_atom_site_label
_atom_site_type_symbol
_atom_site_fract_x
_atom_site_fract_y
_atom_site_fract_z
La1 La 0.0081 0.0000 0.2167
La2 La 0.0099 0.5000 0.3343
La3 La 0.1596 0.2498 0.8487
La4 La 0.1678 0.2353 0.5014
Tb1 Tb 0.0000 0.2984 0.0000
Nd1 Nd 0.0000 0.0000 0.5000
Nd2 Nd 0.1742 0.0000 0.1653
Nd3 Nd 0.1760 0.5000 0.1973
```

Results
The crystal system is monoclinic. The total energy is -89.4 eV/f.u. Its excess energy over the best structure of this formula in the dataset is 66 meV/atom. As for the energy of formation from the pure elements: 0.147 eV/atom. For the total magnetization, the calculation gives 0.0 μB/f.u.

---

Record 6
Below is crystalline LaTb6Nd5 at its relaxed geometry, with properties calculated at the GGA-PBE level.

Structure (CIF):
```
data_LaTb6Nd5
_chemical_formula_sum 'La2 Tb12 Nd10'
_symmetry_space_group_name_H-M 'I m m m'
_symmetry_Int_Tables_number 71
_symmetry_space_group_name_Hall '-I 2 2'
_cell_length_a 5.1515
_cell_length_b 10.1939
_cell_length_c 15.4306
_cell_angle_alpha 90.00
_cell_angle_beta 90.00
_cell_angle_gamma 90.00
loop_
_atom_site_label
_atom_site_type_symbol
_atom_site_fract_x
_atom_site_fract_y
_atom_site_fract_z
La1 La 0.0000 0.0000 0.0000
Tb1 Tb 0.0000 0.2486 0.5000
Tb2 Tb 0.0000 0.2507 0.1669
Nd1 Nd 0.0000 0.0000 0.3329
Nd2 Nd 0.0000 0.5000 0.0000
Nd3 Nd 0.0000 0.5000 0.3326
```

Results
The crystal system is orthorhombic. The total energy is -56.4 eV/f.u. Its excess energy over the best structure of this formula in the dataset is 5 meV/atom. As for the energy of formation from the pure elements: 0.016 eV/atom. For the total magnetization, the calculation gives 0.0 μB/f.u.

---

Record 7
Below is crystalline La3Tb4Nd8 at its relaxed geometry, with properties calculated at the GGA-PBE level.

Structure (CIF):
```
data_La3Tb4Nd8
_chemical_formula_sum 'La6 Tb8 Nd16'
_symmetry_space_group_name_H-M 'C 1 2/m 1'
_symmetry_Int_Tables_number 12
_cell_length_a 14.1485
_cell_length_b 12.3340
_cell_length_c 6.9768
_cell_angle_alpha 90.00
_cell_angle_beta 119.38
_cell_angle_gamma 90.00
loop_
_symmetry_equiv_pos_as_xyz
'x,y,z'
'-x,-y,-z'
'-x,y,-z'
'x,-y,z'
'x+1/2,y+1/2,z'
'-x+1/2,-y+1/2,-z'
'-x+1/2,y+1/2,-z'
'x+1/2,-y+1/2,z'
loop_
_atom_site_label
_atom_site_type_symbol
_atom_site_fract_x
_atom_site_fract_y
_atom_site_fract_z
La1 La 0.0000 0.0000 0.0000
La2 La 0.2500 0.2500 0.0000
Tb1 Tb 0.0000 0.5000 0.0000
Tb2 Tb 0.0000 0.5000 0.5000
Tb3 Tb 0.2500 0.2500 0.5000
Nd1 Nd 0.0000 0.2054 0.5000
Nd2 Nd 0.0000 0.2523 0.0000
Nd3 Nd 0.2058 0.0000 0.7140
Nd4 Nd 0.2476 0.5000 0.7276
```

Results
The crystal system is monoclinic. The total energy is -66.8 eV/f.u. As for the energy of formation from the pure elements: 0.313 eV/atom. For the total magnetization, the calculation gives 0.0 μB/f.u.

---

Record 8
Below is crystalline LaTb3Nd7 at its relaxed geometry, with properties calculated at the GGA-PBE level.

Structure (CIF):
```
data_LaTb3Nd7
_chemical_formula_sum 'La2 Tb6 Nd14'
_symmetry_space_group_name_H-M 'C 1 2/m 1'
_symmetry_Int_Tables_number 12
_cell_length_a 11.8960
_cell_length_b 10.2456
_cell_length_c 6.4984
_cell_angle_alpha 90.00
_cell_angle_beta 95.90
_cell_angle_gamma 90.00
loop_
_symmetry_equiv_pos_as_xyz
'x,y,z'
'-x,-y,-z'
'-x,y,-z'
'x,-y,z'
'x+1/2,y+1/2,z'
'-x+1/2,-y+1/2,-z'
'-x+1/2,y+1/2,-z'
'x+1/2,-y+1/2,z'
loop_
_atom_site_label
_atom_site_type_symbol
_atom_site_fract_x
_atom_site_fract_y
_atom_site_fract_z
La1 La 0.0000 0.0000 0.0000
Tb1 Tb 0.0000 0.3304 0.5000
Tb2 Tb 0.0000 0.5000 0.0000
Nd1 Nd 0.0000 0.0000 0.5000
Nd2 Nd 0.2346 0.5000 0.7110
Nd3 Nd 0.2482 0.3245 0.2402
```

Results
The crystal system is monoclinic. The total energy is -49.9 eV/f.u. Its excess energy over the best structure of this formula in the dataset is 0 meV/atom. As for the energy of formation from the pure elements: 0.208 eV/atom. For the total magnetization, the calculation gives 0.0 μB/f.u.

---

Which value of total magnetization does entry 6 give?
0.0 μB/f.u.